VASP calculation (PBE-GGA) on an optimized crystal structure of LiNdP2Pt5.

Lattice parameters (Å, degrees): 4.1352 4.1352 9.7142 90.00 90.00 90.00
Element x y z (fractional)
Li: 0.0000 0.0000 0.0000
Nd: 0.0000 0.0000 0.5000
P: 0.5000 0.5000 0.2661
P: 0.5000 0.5000 0.7339
Pt: 0.0000 0.5000 0.1596
Pt: 0.0000 0.5000 0.8404
Pt: 0.5000 0.0000 0.1596
Pt: 0.5000 0.0000 0.8404
Pt: 0.5000 0.5000 0.5000

As for the crystal system: tetragonal. The formation energy comes out at -664 meV per atom. The calculation puts the magnetization at 0.00 μB per formula unit. As for the calculated total energy: -5.964 eV per atom.


VASP calculation (PBE-GGA) on an optimized crystal structure of AgTe2CI.

Lattice parameters (Å, degrees): 4.8356 4.8356 5.1100 90.00 90.00 90.00
Element x y z (fractional)
Ag: 0.0000 0.0000 0.0000
Te: 0.0000 0.5000 0.5000
Te: 0.5000 0.0000 0.5000
C: 0.5000 0.5000 0.5000
I: 0.5000 0.5000 0.0000

As for the crystal system: tetragonal. The calculation puts the magnetization at 0.00 μB per formula unit. The polymorph energy (0 for the lowest one) comes out at 0.000 eV/atom. As for the calculated total energy: -2.863 eV per atom.


VASP calculation (PBE-GGA) on an optimized crystal structure of SrAlTl2.

Lattice parameters (Å, degrees): 3.8109 4.0672 7.5514 90.00 90.00 90.00
Element x y z (fractional)
Sr: 0.0000 0.0000 0.0000
Al: 0.5000 0.5000 0.7131
Tl: 0.0000 0.0000 0.5341
Tl: 0.5000 0.5000 0.2951

As for the crystal system: orthorhombic. The formation energy comes out at -65 meV per atom. The calculation puts the magnetization at 0.00 μB per formula unit. As for the calculated total energy: -2.604 eV per atom.


VASP calculation (PBE-GGA) on an optimized crystal structure of La15SmIn4.

Lattice parameters (Å, degrees): 5.0787 5.0787 25.7449 90.00 90.00 90.00
Element x y z (fractional)
La: 0.0000 0.0000 0.0000
La: 0.0000 0.0000 0.2046
La: 0.0000 0.0000 0.4010
La: 0.0000 0.0000 0.5990
La: 0.0000 0.0000 0.7954
La: 0.0000 0.5000 0.1045
La: 0.0000 0.5000 0.3026
La: 0.0000 0.5000 0.5000
La: 0.0000 0.5000 0.6974
La: 0.0000 0.5000 0.8955
La: 0.5000 0.0000 0.1045
La: 0.5000 0.0000 0.3026
La: 0.5000 0.0000 0.5000
La: 0.5000 0.0000 0.6974
La: 0.5000 0.0000 0.8955
Sm: 0.5000 0.5000 0.0000
In: 0.5000 0.5000 0.2042
In: 0.5000 0.5000 0.4014
In: 0.5000 0.5000 0.5986
In: 0.5000 0.5000 0.7958

As for the crystal system: tetragonal. The formation energy comes out at -231 meV per atom. The calculation puts the magnetization at 0.00 μB per formula unit. As for the calculated total energy: -4.710 eV per atom.